(1)
First-principles (GGA-PBE) data for crystalline InReAsO at its relaxed geometry, as listed in OQMD via LeMat-Bulk.

## Properties
total energy: -5.77 eV per atom
excess energy over the best structure of this formula in the dataset: 788 meV per atom

Cell: 4.0751 4.0751 8.6795 Å, 90.00 90.00 90.00°
Positions (direct):
Re 0.0000 0.5000 0.9359
Re 0.5000 0.0000 0.0641
As 0.0000 0.5000 0.2256
As 0.5000 0.0000 0.7744
In 0.5000 0.5000 0.5000
In 0.0000 0.0000 0.5000
O 0.0000 0.0000 0.0000
O 0.5000 0.5000 0.0000

(2)
First-principles (GGA-PBE) data for crystalline LaAg2BiSe2O2 at its relaxed geometry, as listed in OQMD via LeMat-Bulk.

## Properties
total energy: -5.26 eV per atom

Cell: 4.0820 4.0820 9.3917 Å, 90.00 90.00 90.00°
Positions (direct):
Se 0.0000 0.0000 0.7026
Se 0.5000 0.5000 0.3021
La 0.5000 0.5000 0.8673
Ag 0.5000 0.0000 0.4991
Ag 0.0000 0.5000 0.4991
O 0.5000 0.0000 0.0013
O 0.0000 0.5000 0.0013
Bi 0.0000 0.0000 0.1270

(3)
First-principles (GGA-PBE) data for crystalline TaBrCl2O at its relaxed geometry, as listed in OQMD via LeMat-Bulk.

## Properties
total energy: -6.11 eV per atom
excess energy over the best structure of this formula in the dataset: 6 meV per atom

Cell: 6.9366 6.9366 11.5058 Å, 117.55 117.55 32.14°
Positions (direct):
Br 0.1098 0.1098 0.4554
Br 0.8902 0.8902 0.5446
Cl 0.9032 0.9032 0.1190
Cl 0.3165 0.3165 0.7920
Cl 0.6835 0.6835 0.2080
Cl 0.0968 0.0968 0.8810
O 0.3911 0.3911 0.3228
O 0.6089 0.6089 0.6772
Ta 0.8787 0.8787 0.3025
Ta 0.1213 0.1213 0.6975